(1)
DFT (PBE-GGA) results for a geometry-optimized Dy3TlNi8 structure.

Lattice parameters (Å, degrees): 5.039 5.039 8.763 73.29 73.29 60.00
Element x y z (fractional)
1 Ni 0.937 0.937 0.690
2 Ni 0.688 0.688 0.936
3 Ni 0.437 0.437 0.184
4 Dy 0.376 0.376 0.871
5 Ni 0.941 0.437 0.184
6 Ni 0.436 0.937 0.690
7 Dy 0.995 0.995 0.014
8 Dy 0.504 0.504 0.488
9 Tl 0.873 0.873 0.382
10 Ni 0.937 0.436 0.690
11 Ni 0.437 0.941 0.184
12 Ni 0.188 0.188 0.437

calculated volume	15.148	A^3/atom
SG	No. 160
N(E_F)	9.961	states/eV/cell
formation energy from the elements	-370	meV per atom


(2)
DFT (PBE-GGA) results for a geometry-optimized AgSI3 structure.

Lattice parameters (Å, degrees): 5.555 5.555 5.555 90.00 90.00 90.00
Element x y z (fractional)
1 I 0.500 0.000 0.000
2 I 0.000 0.500 0.000
3 Ag 0.500 0.500 0.500
4 S 0.000 0.000 0.000
5 I 0.000 0.000 0.500

distance to the lowest polymorph of the same formula	0	meV/atom
calculated volume	34.279	A^3/atom
SG	No. 221
uncorrected formation energy	35.56	kJ/mol of atoms
N(E_F)	1.222	states/eV/cell


(3)
DFT (PBE-GGA) results for a geometry-optimized Th2FeCu3 structure.

Lattice parameters (Å, degrees): 3.715 4.359 7.236 90.00 90.00 90.00
Each line ends with the local moment (μB).
Element x y z (fractional)
1 Cu 0.500 0.000 0.169  0.00
2 Th 0.000 0.500 0.019  -0.13
3 Cu 0.500 0.500 0.667  0.01
4 Th 0.000 0.000 0.489  -0.13
5 Cu 0.500 0.000 0.831  -0.01
6 Fe 0.500 0.500 0.325  1.56

calculated volume	19.526	A^3/atom
SG	No. 25
N(E_F)	5.774	states/eV/cell
formation energy from the elements	-90	meV per atom


Question: What is the calculated volume in the third record?
Answer: 19.526 A^3/atom